Record 1
Compound: Dy5Bi2Sb2
Source: Alexandria via LeMat-Bulk
Functional: GGA-PBE
Structure: optimized geometry

Results
- Formation energy from raw total energies: -666 meV/atom
- N(E_F): 6.60 states/eV/cell
- Theoretical density: 7.951 g/cm³
- Offset from the most stable computed form: 224 meV per atom
- Size of the total moment: 0.009 μB/atom
- V: 308 Å³ per cell

a b c (Å): 8.1264 8.1264 9.3225
angles (deg): 123.34 123.34 37.91
Last column: nearest neighbours and their distance in Å.
Atoms (fractional coordinates):
Dy1 0.0000 0.0000 0.0000  4 Sb 3.32, 2 Bi 3.47, 6 Dy 3.51-3.56
Dy2 0.1355 0.1355 0.7996  3 Sb 3.09-3.14, 2 Bi 3.10-3.14
Dy3 0.3650 0.3650 0.6888  3 Bi 3.03-3.12, 2 Sb 3.09-3.18
Dy4 0.6350 0.6350 0.3112  3 Bi 3.03-3.12, 2 Sb 3.09-3.18
Dy5 0.8645 0.8645 0.2004  3 Sb 3.09-3.14, 2 Bi 3.10-3.14
Bi1 0.1157 0.1157 0.4491  5 Dy 3.03-3.14
Bi2 0.8843 0.8843 0.5509  5 Dy 3.03-3.14
Sb1 0.3823 0.3823 0.0356  7 Dy 3.09-3.32
Sb2 0.6177 0.6177 0.9644  7 Dy 3.09-3.32

Record 2
Compound: DyBiSb2
Source: Alexandria via LeMat-Bulk
Functional: GGA-PBE
Structure: optimized geometry

Results
- Formation energy from raw total energies: -387 meV/atom
- N(E_F): 1.86 states/eV/cell
- Theoretical density: 9.045 g/cm³
- Offset from the most stable computed form: 7 meV per atom
- Size of the total moment: 0.000 μB/atom
- V: 113 Å³ per cell

a b c (Å): 4.1366 4.1366 6.5983
angles (deg): 90.00 90.00 90.00
Last column: nearest neighbours and their distance in Å.
Atoms (fractional coordinates):
Dy1 0.0000 0.0000 0.0000  8 Sb 3.30, 2 Bi 3.30
Bi1 0.0000 0.0000 0.5000  2 Dy 3.30, 8 Sb 3.42
Sb1 0.5000 0.5000 0.2303  1 Sb 3.04, 4 Dy 3.30
Sb2 0.5000 0.5000 0.7697  1 Sb 3.04, 4 Dy 3.30

Record 3
Compound: DyBiSb
Source: Alexandria via LeMat-Bulk
Functional: GGA-PBE
Structure: optimized geometry

Results
- Formation energy from raw total energies: -31 meV/atom
- N(E_F): 2.77 states/eV/cell
- Theoretical density: 7.271 g/cm³
- Offset from the most stable computed form: 549 meV per atom
- Size of the total moment: 0.145 μB/atom
- V: 113 Å³ per cell

a b c (Å): 6.0427 5.8541 5.8541
angles (deg): 32.95 90.00 90.00
Last column: nearest neighbours and their distance in Å.
Atoms (fractional coordinates):
Dy1 0.0000 0.0000 0.0000  3 Sb 3.01-3.09, 2 Bi 3.10, 2 Dy 3.32
Bi1 0.5000 0.9392 0.9392  2 Dy 3.10, 2 Bi 3.32
Sb1 0.0000 0.7321 0.7321  3 Dy 3.01-3.09, 2 Sb 3.32

Record 4
Compound: Dy5Bi4Sb
Source: Alexandria via LeMat-Bulk
Functional: GGA-PBE
Structure: optimized geometry

Results
- Formation energy from raw total energies: -912 meV/atom
- N(E_F): 1.68 states/eV/cell
- Theoretical density: 9.393 g/cm³
- Size of the total moment: 0.000 μB/atom
- V: 313 Å³ per cell

a b c (Å): 7.7192 7.7192 7.7192
angles (deg): 99.59 99.59 131.81
Last column: nearest neighbours and their distance in Å.
Atoms (fractional coordinates):
Dy1 0.0000 0.0000 0.0000  2 Sb 3.15, 4 Bi 3.15
Dy2 0.2042 0.4007 0.6049  1 Sb 3.11, 5 Bi 3.15-3.18
Dy3 0.4007 0.7958 0.1965  1 Sb 3.11, 5 Bi 3.15-3.18
Dy4 0.5993 0.2042 0.8035  1 Sb 3.11, 5 Bi 3.15-3.18
Dy5 0.7958 0.5993 0.3951  1 Sb 3.11, 5 Bi 3.15-3.18
Bi1 0.0985 0.6994 0.7979  6 Dy 3.15-3.18
Bi2 0.3006 0.0985 0.3991  6 Dy 3.15-3.18
Bi3 0.6994 0.9015 0.6009  6 Dy 3.15-3.18
Bi4 0.9015 0.3006 0.2021  6 Dy 3.15-3.18
Sb1 0.5000 0.5000 0.0000  6 Dy 3.11-3.15

Record 5
Compound: DyBiSb
Source: Alexandria via LeMat-Bulk
Functional: GGA-PBE
Structure: optimized geometry

Results
- Formation energy from raw total energies: -580 meV/atom
- N(E_F): 7.19 states/eV/cell
- Theoretical density: 9.417 g/cm³
- Offset from the most stable computed form: 0 meV per atom
- Size of the total moment: 0.000 μB/atom
- V: 348 Å³ per cell

a b c (Å): 18.8003 4.3022 4.3011
angles (deg): 90.00 90.00 90.00
Last column: nearest neighbours and their distance in Å.
Atoms (fractional coordinates):
Dy1 0.1285 0.2500 0.2492  4 Sb 3.23-3.24, 5 Bi 3.28-3.34
Dy2 0.3715 0.7500 0.7492  4 Sb 3.23-3.24, 5 Bi 3.28-3.34
Dy3 0.6285 0.2500 0.2508  4 Sb 3.23-3.24, 5 Bi 3.28-3.34
Dy4 0.8715 0.7500 0.7508  4 Sb 3.23-3.24, 5 Bi 3.28-3.34
Bi1 0.1941 0.7500 0.7490  5 Dy 3.28-3.34
Bi2 0.3059 0.2500 0.2490  5 Dy 3.28-3.34
Bi3 0.6941 0.7500 0.7510  5 Dy 3.28-3.34
Bi4 0.8059 0.2500 0.2510  5 Dy 3.28-3.34
Sb1 0.0000 0.2500 0.7498  4 Sb 3.04, 4 Dy 3.23-3.24
Sb2 0.0000 0.7500 0.2502  4 Sb 3.04, 4 Dy 3.23-3.24
Sb3 0.5000 0.2500 0.7502  4 Sb 3.04, 4 Dy 3.23-3.24
Sb4 0.5000 0.7500 0.2498  4 Sb 3.04, 4 Dy 3.23-3.24

Record 6
Compound: Dy8BiSb2
Source: Alexandria via LeMat-Bulk
Functional: GGA-PBE
Structure: optimized geometry

Results
- Formation energy from raw total energies: -472 meV/atom
- N(E_F): 14.15 states/eV/cell
- Theoretical density: 8.775 g/cm³
- Size of the total moment: 0.075 μB/atom
- V: 332 Å³ per cell

a b c (Å): 9.4807 9.4807 7.8389
angles (deg): 91.79 91.79 28.09
Last column: nearest neighbours and their distance in Å.
Atoms (fractional coordinates):
Dy1 0.0060 0.0060 0.2628  2 Bi 3.09, 1 Sb 3.29, 2 Dy 3.45
Dy2 0.2158 0.2158 0.3614  3 Sb 3.25-3.28, 7 Dy 3.38-3.52
Dy3 0.3311 0.3311 0.9604  1 Bi 3.11, 3 Sb 3.16-3.25
Dy4 0.4024 0.4024 0.4750  2 Sb 3.25, 8 Dy 3.44-3.60
Dy5 0.5976 0.5976 0.5250  2 Sb 3.25, 8 Dy 3.44-3.60
Dy6 0.6689 0.6689 0.0396  1 Bi 3.11, 3 Sb 3.16-3.25
Dy7 0.7842 0.7842 0.6386  3 Sb 3.25-3.28, 7 Dy 3.38-3.52
Dy8 0.9940 0.9940 0.7372  2 Bi 3.09, 1 Sb 3.29, 2 Dy 3.45
Bi1 0.5000 0.5000 0.0000  6 Dy 3.09-3.11
Sb1 0.1727 0.1727 0.7637  9 Dy 3.16-3.29
Sb2 0.8273 0.8273 0.2363  9 Dy 3.16-3.29

Record 7
Compound: Dy5BiSb4
Source: Alexandria via LeMat-Bulk
Functional: GGA-PBE
Structure: optimized geometry

Results
- Formation energy from raw total energies: -1077 meV/atom
- N(E_F): 1.93 states/eV/cell
- Theoretical density: 8.318 g/cm³
- Size of the total moment: 0.000 μB/atom
- V: 301 Å³ per cell

a b c (Å): 11.6446 11.6446 11.6446
angles (deg): 158.22 149.02 38.19
Last column: nearest neighbours and their distance in Å.
Atoms (fractional coordinates):
Dy1 0.0000 0.0000 0.0000  2 Bi 3.11, 4 Sb 3.11
Dy2 0.1995 0.1995 0.0000  6 Sb 3.10-3.11
Dy3 0.3973 0.3973 0.0000  4 Sb 3.09-3.11, 2 Bi 3.15
Dy4 0.6027 0.6027 0.0000  4 Sb 3.09-3.11, 2 Bi 3.15
Dy5 0.8005 0.8005 0.0000  6 Sb 3.10-3.11
Bi1 0.5000 0.0000 0.5000  6 Dy 3.11-3.15
Sb1 0.1000 0.6000 0.5000  6 Dy 3.10-3.11
Sb2 0.2989 0.7989 0.5000  6 Dy 3.09-3.11
Sb3 0.7011 0.2011 0.5000  6 Dy 3.09-3.11
Sb4 0.9000 0.4000 0.5000  6 Dy 3.10-3.11

Record 8
Compound: DyBiSb2
Source: Alexandria via LeMat-Bulk
Functional: GGA-PBE
Structure: optimized geometry

Results
- Formation energy from raw total energies: -394 meV/atom
- N(E_F): 1.58 states/eV/cell
- Theoretical density: 9.044 g/cm³
- Offset from the most stable computed form: 0 meV per atom
- Size of the total moment: 0.000 μB/atom
- V: 113 Å³ per cell

a b c (Å): 5.2416 5.2416 4.1100
angles (deg): 90.00 90.00 90.00
Last column: nearest neighbours and their distance in Å.
Atoms (fractional coordinates):
Dy1 0.0000 0.0000 0.0000  8 Sb 3.33, 4 Bi 3.71
Bi1 0.5000 0.5000 0.0000  8 Sb 3.33, 4 Dy 3.71
Sb1 0.0000 0.5000 0.5000  4 Bi 3.33, 4 Dy 3.33, 4 Sb 3.71
Sb2 0.5000 0.0000 0.5000  4 Bi 3.33, 4 Dy 3.33, 4 Sb 3.71

Record 9
Compound: Dy4Bi2Sb
Source: Alexandria via LeMat-Bulk
Functional: GGA-PBE
Structure: optimized geometry

Results
- Formation energy from raw total energies: -641 meV/atom
- N(E_F): 11.25 states/eV/cell
- Theoretical density: 8.844 g/cm³
- Offset from the most stable computed form: 173 meV per atom
- Size of the total moment: 0.000 μB/atom
- V: 447 Å³ per cell

a b c (Å): 8.3414 8.3414 8.3414
angles (deg): 109.77 109.76 108.89
Last column: nearest neighbours and their distance in Å.
Atoms (fractional coordinates):
Dy1 0.0101 0.8872 0.4973  1 Sb 3.08, 3 Bi 3.11-3.24
Dy2 0.0171 0.1230 0.0226  1 Sb 3.07, 3 Bi 3.11-3.21
Dy3 0.4829 0.5055 0.1058  1 Sb 3.07, 3 Bi 3.11-3.21
Dy4 0.4899 0.9873 0.8771  1 Sb 3.08, 3 Bi 3.11-3.24
Dy5 0.6003 0.9945 0.4774  1 Sb 3.07, 3 Bi 3.11-3.21
Dy6 0.6101 0.6128 0.6229  1 Sb 3.08, 3 Bi 3.11-3.24
Dy7 0.8899 0.5127 0.0027  1 Sb 3.08, 3 Bi 3.11-3.24
Dy8 0.8997 0.3770 0.3942  1 Sb 3.07, 3 Bi 3.11-3.21
Bi1 0.0454 0.2954 0.7500  6 Dy 3.11-3.20
Bi2 0.0560 0.7500 0.8060  6 Dy 3.11-3.24
Bi3 0.4440 0.2500 0.6940  6 Dy 3.11-3.24
Bi4 0.4546 0.2046 0.2500  6 Dy 3.11-3.20
Sb1 0.2500 0.6268 0.3768  4 Dy 3.07-3.08
Sb2 0.7500 0.8732 0.1232  4 Dy 3.07-3.08

Record 10
Compound: Dy5BiSb4
Source: Alexandria via LeMat-Bulk
Functional: GGA-PBE
Structure: optimized geometry

Results
- Formation energy from raw total energies: -1076 meV/atom
- N(E_F): 1.59 states/eV/cell
- Theoretical density: 8.306 g/cm³
- Size of the total moment: 0.000 μB/atom
- V: 302 Å³ per cell

a b c (Å): 7.6244 7.6244 7.6244
angles (deg): 99.59 99.59 131.81
Last column: nearest neighbours and their distance in Å.
Atoms (fractional coordinates):
Dy1 0.0000 0.0000 0.0000  4 Sb 3.11, 2 Bi 3.11
Dy2 0.1962 0.6008 0.7970  5 Sb 3.09-3.11, 1 Bi 3.15
Dy3 0.3992 0.1962 0.5954  5 Sb 3.09-3.11, 1 Bi 3.15
Dy4 0.6008 0.8038 0.4046  5 Sb 3.09-3.11, 1 Bi 3.15
Dy5 0.8038 0.3992 0.2030  5 Sb 3.09-3.11, 1 Bi 3.15
Bi1 0.5000 0.5000 0.0000  6 Dy 3.11-3.15
Sb1 0.1012 0.2995 0.4007  6 Dy 3.09-3.11
Sb2 0.2995 0.8988 0.1983  6 Dy 3.09-3.11
Sb3 0.7005 0.1012 0.8017  6 Dy 3.09-3.11
Sb4 0.8988 0.7005 0.5993  6 Dy 3.09-3.11

Record 11
Compound: Dy5Bi2Sb
Source: Alexandria via LeMat-Bulk
Functional: GGA-PBE
Structure: optimized geometry

Results
- Formation energy from raw total energies: -408 meV/atom
- N(E_F): 15.24 states/eV/cell
- Theoretical density: 8.505 g/cm³
- Size of the total moment: 0.000 μB/atom
- V: 528 Å³ per cell

a b c (Å): 6.8916 6.8916 13.9312
angles (deg): 90.00 90.00 127.05
Last column: nearest neighbours and their distance in Å.
Atoms (fractional coordinates):
Dy1 0.0643 0.9357 0.6056  1 Sb 2.99, 2 Bi 3.13-3.19, 1 Dy 3.34
Dy2 0.0643 0.9357 0.8944  1 Sb 2.99, 2 Bi 3.13-3.19, 1 Dy 3.34
Dy3 0.3716 0.6284 0.2500  2 Bi 3.12, 2 Sb 3.39
Dy4 0.3773 0.6227 0.5615  1 Sb 3.10, 3 Bi 3.19-3.21
Dy5 0.3773 0.6227 0.9385  1 Sb 3.10, 3 Bi 3.19-3.21
Dy6 0.6227 0.3773 0.0615  1 Sb 3.10, 3 Bi 3.19-3.21
Dy7 0.6227 0.3773 0.4385  1 Sb 3.10, 3 Bi 3.19-3.21
Dy8 0.6284 0.3716 0.7500  2 Bi 3.12, 2 Sb 3.39
Dy9 0.9357 0.0643 0.1056  1 Sb 2.99, 2 Bi 3.13-3.19, 1 Dy 3.34
Dy10 0.9357 0.0643 0.3944  1 Sb 2.99, 2 Bi 3.13-3.19, 1 Dy 3.34
Bi1 0.1891 0.8109 0.0953  6 Dy 3.12-3.21
Bi2 0.1891 0.8109 0.4047  6 Dy 3.12-3.21
Bi3 0.8109 0.1891 0.5953  6 Dy 3.12-3.21
Bi4 0.8109 0.1891 0.9047  6 Dy 3.12-3.21
Sb1 0.2441 0.7559 0.7500  4 Dy 2.99-3.10
Sb2 0.7559 0.2441 0.2500  4 Dy 2.99-3.10

Record 12
Compound: Dy6BiSb2
Source: Alexandria via LeMat-Bulk
Functional: GGA-PBE
Structure: optimized geometry

Results
- Formation energy from raw total energies: -580 meV/atom
- N(E_F): 19.76 states/eV/cell
- Theoretical density: 8.727 g/cm³
- Size of the total moment: 0.000 μB/atom
- V: 543 Å³ per cell

a b c (Å): 6.3711 8.3189 11.9214
angles (deg): 90.00 120.71 90.00
Last column: nearest neighbours and their distance in Å.
Atoms (fractional coordinates):
Dy1 0.0545 0.1961 0.4412  1 Bi 3.03, 3 Sb 3.16-3.36
Dy2 0.0545 0.3039 0.9412  1 Bi 3.03, 3 Sb 3.16-3.36
Dy3 0.3082 0.6555 0.4432  1 Bi 3.05, 2 Sb 3.09-3.24, 1 Dy 3.34
Dy4 0.3082 0.8445 0.9432  1 Bi 3.05, 2 Sb 3.09-3.24, 1 Dy 3.34
Dy5 0.3499 0.0367 0.2158  1 Bi 3.03, 2 Sb 3.19
Dy6 0.3499 0.4633 0.7158  1 Bi 3.03, 2 Sb 3.19
Dy7 0.6501 0.5367 0.2842  1 Bi 3.03, 2 Sb 3.19
Dy8 0.6501 0.9633 0.7842  1 Bi 3.03, 2 Sb 3.19
Dy9 0.6918 0.1555 0.0568  1 Bi 3.05, 2 Sb 3.09-3.24, 1 Dy 3.34
Dy10 0.6918 0.3445 0.5568  1 Bi 3.05, 2 Sb 3.09-3.24, 1 Dy 3.34
Dy11 0.9455 0.6961 0.0588  1 Bi 3.03, 3 Sb 3.16-3.36
Dy12 0.9455 0.8039 0.5588  1 Bi 3.03, 3 Sb 3.16-3.36
Bi1 0.5000 0.0000 0.5000  6 Dy 3.03-3.05
Bi2 0.5000 0.5000 0.0000  6 Dy 3.03-3.05
Sb1 0.1576 0.1194 0.7423  7 Dy 3.09-3.36
Sb2 0.1576 0.3806 0.2423  7 Dy 3.09-3.36
Sb3 0.8424 0.6194 0.7577  7 Dy 3.09-3.36
Sb4 0.8424 0.8806 0.2577  7 Dy 3.09-3.36